KTc2Au at its PBEsol-relaxed geometry, computed with SCAN.

Computed properties:
* total energy: -35.982 eV per atom
* calculated formation energy: 0.9192 eV per atom

a = 2.750 Å, b = 2.750 Å, c = 10.757 Å
α = 82.66°, β = 82.66°, γ = 60.00°
Fractional coordinates of all 4 atoms:
Au (0.500, 0.500, 0.500)
K (0.000, 0.000, 0.000)
Tc (0.240, 0.240, 0.281)
Tc (0.760, 0.760, 0.719)

WSeCl at its PBEsol-relaxed geometry, computed with SCAN.

Computed properties:
* total energy: -31.092 eV per atom
* ΔE_f (raw): 1490 meV per atom
* excess energy over the best structure of this formula in the dataset: 1488 meV per atom

a = 4.323 Å, b = 4.323 Å, c = 4.323 Å
α = 60.00°, β = 60.00°, γ = 60.00°
Fractional coordinates of all 3 atoms:
Se (0.250, 0.250, 0.250)
W (0.000, 0.000, 0.000)
Cl (0.500, 0.500, 0.500)

The lowest total energy belongs to which entry? KTc2Au